InBrCl2 after structural relaxation, computed with PBEsol.

Cell: 3.3373 3.3373 8.7079 Å, 90.00 90.00 90.00°
Space group P4/mmm (No. 123)
Asymmetric unit:
1 In 0.0000 0.0000 0.0000 x1
2 Br 0.0000 0.0000 0.5000 x1
3 Cl 0.5000 0.5000 0.1787 x2

## Properties
- Formation energy without anion corrections: -0.34 eV per atom



InBrCl2 after structural relaxation, computed with PBEsol.

Cell: 7.0216 7.0216 7.0216 Å, 90.00 90.00 90.00°
Space group Fm-3m (No. 225)
Asymmetric unit:
1 In 0.0000 0.0000 0.0000 x4
2 Br 0.0000 0.0000 0.5000 x4
3 Cl 0.2500 0.2500 0.2500 x8

## Properties
- Formation energy without anion corrections: -0.18 eV per atom



Q: Look up the formation energy without anion corrections of the first one.
A: -0.34 eV per atom